(1)
A geometry-optimized NaAcAg2F6 structure. Source: the Alexandria database, functional PBE-GGA.

Cell lengths 6.246, 6.231, 6.418 Å; angles 60.55, 60.55, 59.73 degrees
Sites, in units of the cell vectors:
F 0.695 0.115 0.766
F 0.420 0.699 0.764
F 0.936 0.600 0.267
F 0.114 0.423 0.769
F 0.198 0.934 0.264
F 0.607 0.199 0.260
Ag 0.030 0.033 0.904
Ag 0.536 0.534 0.397
Na 0.314 0.314 0.057
Ac 0.811 0.811 0.567

Computed properties:
Formation energy without anion corrections = -2546 meV/atom
Crystal system = triclinic


(2)
A geometry-optimized NaAcAg2F8 structure. Source: the Alexandria database, functional PBE-GGA.

Cell lengths 5.665, 5.665, 6.910 Å; angles 114.20, 114.20, 90.00 degrees
Site moments in Bohr magnetons follow the coordinates.
Sites, in units of the cell vectors:
Ag 0.500 0.500 0.000  0.55
Ag 0.250 0.750 0.500  0.56
F 0.373 0.861 0.249  0.11
F 0.876 0.860 0.249  0.11
F 0.876 0.388 0.249  0.11
F 0.373 0.389 0.249  0.11
F 0.139 0.124 0.751  0.11
F 0.140 0.627 0.751  0.11
F 0.611 0.124 0.751  0.11
F 0.612 0.627 0.751  0.11
Ac 0.750 0.250 0.500  0.00
Na 0.000 0.000 0.000  0.00

Computed properties:
Formation energy without anion corrections = -2327 meV/atom
Crystal system = tetragonal